The following is a DFT calculation (GGA+U) of a relaxed Rb2PuMn2O6 crystal.

Properties
Crystal system   monoclinic
Total moment   8.000 μB per cell
E   -79.5 eV per formula unit
Density of states at the Fermi level   1.84 states/eV per cell
Space-group type   C2/m (12)

a b c (Å): 5.4934 5.4934 6.8966
angles (deg): 98.35 98.35 120.51
Fractional coordinates of all 11 atoms:
Rb (0.1672, 0.8328, 0.0000)
Rb (0.8328, 0.1672, 0.0000)
Pu (0.0000, 0.0000, 0.5000)
Mn (0.3335, 0.6665, 0.5000)
Mn (0.6665, 0.3335, 0.5000)
O (0.0631, 0.4157, 0.6610)
O (0.2953, 0.2953, 0.3407)
O (0.4157, 0.0631, 0.6610)
O (0.5843, 0.9369, 0.3390)
O (0.7047, 0.7047, 0.6593)
O (0.9369, 0.5843, 0.3390)